DFT (GGA+U) results for a relaxed structure of CrInCu2O6.

Output
The density of states at the Fermi level comes out at 4.53 states/eV/f.u. Its space-group type is C2/c, No. 15. The total magnetization comes out at 2.04 μB/cell. The calculation puts the calculated total energy at -115.69 eV for the cell shown.

Cell and atoms, written as extended XYZ:
```
20
Lattice="5.363 -0.480 -0.498 1.200 6.526 0.244 1.200 0.002 6.530" Properties=species:S:1:pos:R:3 pbc="T T T"
O 1.609 1.848 3.004
O 1.332 4.080 1.150
O 3.473 3.354 4.567
O 5.480 4.823 6.357
O 3.750 5.289 2.405
O 4.966 -0.366 0.972
O 2.798 6.414 5.304
O 6.432 1.968 5.126
O 4.014 0.758 3.871
O 4.291 2.694 1.709
O 2.284 1.225 -0.081
O 6.155 4.200 3.272
Cr 5.223 4.322 1.647
Cr 2.541 1.725 4.629
In 2.541 5.813 0.690
In 5.223 0.234 5.586
Cu 5.398 3.529 4.894
Cu 2.366 2.518 1.382
Cu 2.716 5.000 3.957
Cu 5.048 1.048 2.319
```